# 1
# NpAgAu6

NpAgAu6 after structural relaxation (PBE-GGA, Alexandria).

Cell and atoms, written as POSCAR:
```
NpAgAu6
1.0
-3.9404 1.9862 1.5532
-3.5408 1.0157 -3.2368
-4.8411 -6.0541 2.5050
Np Ag Au
1 1 6
direct
0.0000 0.5000 0.5000
0.0000 0.0000 0.0000
0.2453 0.8650 0.6445
0.5156 0.2293 0.7396
0.2550 0.3814 0.1087
0.4844 0.7707 0.2604
0.7547 0.1350 0.3555
0.7450 0.6186 0.8913
```

## Properties
Its volume is 156.9 Å³/f.u. The value obtained for the formation energy is -79 meV per atom.

# 2
# Rb2CrCuH6

Rb2CrCuH6 after structural relaxation (PBE-GGA, Alexandria).

Cell and atoms, written as POSCAR:
```
Rb2CrCuH6
1.0
-2.1913 2.2815 -4.0861
-4.6735 -1.2952 1.7839
-3.6664 4.8581 1.4096
Rb Cr Cu H
2 1 1 6
direct
0.7500 0.2499 0.5000
0.2500 0.7501 0.5000
0.0000 0.0000 0.0000
0.5000 0.5000 0.0000
0.1710 0.1710 0.6581
0.7434 0.7434 0.0001
0.2566 0.7434 0.0000
0.7434 0.2566 0.0000
0.2566 0.2566 0.9999
0.8290 0.8290 0.3419
```

## Properties
Its volume is 135.3 Å³/f.u. As for the uncorrected energy: -35.56 eV per cell.

# 3
# TcSbI2O

TcSbI2O after structural relaxation (PBE-GGA, Alexandria).

Cell and atoms, written as POSCAR:
```
TcSbI2O
1.0
5.4196 0.0000 0.0000
0.0000 5.4196 0.0000
0.0000 0.0000 5.1264
I Sb Tc O
2 1 1 1
direct
0.0000 0.5000 0.0000
0.5000 0.0000 0.0000
0.0000 0.0000 0.5000
0.0000 0.0000 0.0000
0.5000 0.5000 0.5000
```

## Properties
Its volume is 150.6 Å³/f.u. As for the raw formation energy: 943.4 meV/atom.

We obtain D(E_F) values of 9.80, 1.08, 8.98 states/eV/f.u. for the records listed above, in that order.
We obtain magnetic moment values of 4.0, 3.3, 1.6 μB/cell for the records listed above, in that order.
We obtain theoretical density values of 16161, 3591, 5399 kg/m3 for the records listed above, in that order.